5
Lattice="4.6068 0.0000 0.0000 0.0000 4.6068 0.0000 0.0000 0.0000 4.6068" Properties=species:S:1:pos:R:3 comment="ZrTi3Os, relaxed, DFT PBE" total_magnetization_mub_per_cell=0.00 formation_energy_ev_per_atom=1.530 density_g_cm3=7.219 pbc="T T T"
Zr 0.0000 0.0000 0.0000
Ti 0.0000 0.0000 2.3034
Ti 0.0000 2.3034 0.0000
Ti 2.3034 0.0000 0.0000
Os 2.3034 2.3034 2.3034